(1)
VASP calculation (GGA-PBE) on an optimized crystal structure of LaTbPCl.

a = 4.033 Å, b = 4.034 Å, c = 7.605 Å
α = 90.00°, β = 105.36°, γ = 120.01°
Fractional positions:
La  0.494  0.145  0.655
Tb  0.111  0.954  0.080
P  0.316  0.556  0.887
Cl  0.956  0.376  0.347

symmetry = R3m (160)
total magnetic moment = 0.0 μB per formula unit
crystal system = trigonal

(2)
VASP calculation (GGA-PBE) on an optimized crystal structure of LaTcP2Cl.

a = 5.536 Å, b = 5.536 Å, c = 5.330 Å
α = 90.00°, β = 90.00°, γ = 90.00°
Site moments in Bohr magnetons follow the coordinates.
Fractional positions:
P  0.000  0.500  0.000  -0.05
P  0.500  0.000  0.000  -0.05
Cl  0.000  0.000  0.500  0.03
Tc  0.500  0.500  0.500  4.01
La  0.000  0.000  0.000  0.01

symmetry = P4/mmm (123)
total magnetic moment = 4.5 μB per formula unit
crystal system = tetragonal

no.,formation energy without anion corrections (kJ/mol of formula units)
1,-622
2,393